[1]
DFT (PBE-GGA) results for crystalline Na4TeH5 at its relaxed geometry.

```
Na4TeH5
1.0
6.112 -1.970 0.000
6.112 1.970 0.000
-5.063 0.000 6.371
Na Te H
4 1 5
Direct
0.077 0.077 0.242
0.256 0.256 0.856
0.744 0.744 0.144
0.923 0.923 0.758
0.500 0.500 0.500
0.150 0.150 0.022
0.341 0.341 0.515
0.500 0.500 0.000
0.659 0.659 0.485
0.850 0.850 0.978
```

Its raw total energy is -25.20 eV for the cell shown. The spin magnetization comes out at 0.0 μB/cell. The density of states at the Fermi level comes out at 1.604 states/eV/f.u.

[2]
DFT (PBE-GGA) results for crystalline NaTeH3 at its relaxed geometry.

```
NaTeH3
1.0
4.296 0.000 0.000
0.000 4.296 0.000
0.000 0.000 4.296
Na Te H
1 1 3
Direct
0.000 0.000 0.000
0.500 0.500 0.500
0.000 0.500 0.500
0.500 0.000 0.500
0.500 0.500 0.000
```

Its raw total energy is -12.71 eV for the cell shown. The spin magnetization comes out at 0.0 μB/cell. The density of states at the Fermi level comes out at 1.220 states/eV/f.u.

[3]
DFT (PBE-GGA) results for crystalline Na2TeH6 at its relaxed geometry.

```
Na2TeH6
1.0
5.473 0.000 0.000
-2.736 4.740 0.000
0.000 0.000 5.766
Na Te H
2 1 6
Direct
0.333 0.667 0.000
0.667 0.333 0.000
0.000 0.000 0.000
0.000 0.431 0.500
0.000 0.569 0.500
0.431 0.000 0.500
0.431 0.431 0.500
0.569 0.000 0.500
0.569 0.569 0.500
```

Its raw total energy is -28.05 eV for the cell shown. The spin magnetization comes out at 0.0 μB/cell. The density of states at the Fermi level comes out at 0.000 states/eV/f.u.

[4]
DFT (PBE-GGA) results for crystalline NaTeH at its relaxed geometry.

```
NaTeH
1.0
-2.288 2.288 4.289
2.288 -2.288 4.289
2.288 2.288 -4.289
Na Te H
1 1 1
Direct
0.000 0.000 0.000
0.499 0.499 0.000
0.303 0.303 0.000
```

Its raw total energy is -8.85 eV for the cell shown. The spin magnetization comes out at 0.0 μB/cell. The density of states at the Fermi level comes out at 0.000 states/eV/f.u.

[5]
DFT (PBE-GGA) results for crystalline Na2TeH at its relaxed geometry.

```
Na2TeH
1.0
0.000 3.640 3.640
3.640 0.000 3.640
3.640 3.640 0.000
Na Te H
2 1 1
Direct
0.250 0.250 0.250
0.750 0.750 0.750
0.000 0.000 0.000
0.500 0.500 0.500
```

Its raw total energy is -9.93 eV for the cell shown. The spin magnetization comes out at 1.0 μB/cell. The density of states at the Fermi level comes out at 0.427 states/eV/f.u.

[6]
DFT (PBE-GGA) results for crystalline NaTeH2 at its relaxed geometry.

```
NaTeH2
1.0
4.769 0.000 0.000
0.000 3.207 0.000
-2.378 0.000 4.596
Na Te H
1 1 2
Direct
0.000 0.000 0.000
0.682 0.500 0.365
0.363 0.119 0.729
0.363 0.881 0.729
```

Its raw total energy is -12.28 eV for the cell shown. The spin magnetization comes out at 0.0 μB/cell. The density of states at the Fermi level comes out at 0.915 states/eV/f.u.